# 1
Tb3PmEr2Se6: relaxed, PBE.

Geometry as CIF:
```
data_Tb3PmEr2Se6
_chemical_formula_sum 'Tb3 Pm1 Er2 Se6'
_space_group_name_H-M_alt 'P 1'
_space_group_IT_number 1
_space_group_name_Hall 'P 1'
_cell_length_a 7.0964
_cell_length_b 7.0964
_cell_length_c 7.0914
_cell_angle_alpha 99.55
_cell_angle_beta 99.55
_cell_angle_gamma 120.27
loop_
_atom_site_label
_atom_site_type_symbol
_atom_site_fract_x
_atom_site_fract_y
_atom_site_fract_z
Tb1 Tb 0.0000 0.0000 0.0000
Tb2 Tb 0.3407 0.6593 0.0000
Tb3 Tb 0.6593 0.3407 0.0000
Pm1 Pm 0.5000 0.5000 0.5000
Er1 Er 0.1655 0.8345 0.5000
Er2 Er 0.8345 0.1655 0.5000
Se1 Se 0.0728 0.4169 0.2490
Se2 Se 0.2387 0.2387 0.7454
Se3 Se 0.4169 0.0728 0.2490
Se4 Se 0.5831 0.9272 0.7510
Se5 Se 0.7613 0.7613 0.2546
Se6 Se 0.9272 0.5831 0.7510
```

* mass density: 8.17 Mg/m³
* calculated total energy: -69.8 eV/f.u.
* SG: No. 12
* ΔE_f (raw): -1.76 eV/atom
* Fermi-level density of states: 5.23 states/eV/cell

=====

# 2
MnReIr4: relaxed, PBE.

Geometry as CIF:
```
data_MnReIr4
_chemical_formula_sum 'Mn1 Re1 Ir4'
_space_group_name_H-M_alt 'P 1'
_space_group_IT_number 1
_space_group_name_Hall 'P 1'
_cell_length_a 5.1101
_cell_length_b 5.1101
_cell_length_c 5.1101
_cell_angle_alpha 60.00
_cell_angle_beta 60.00
_cell_angle_gamma 60.00
loop_
_atom_site_label
_atom_site_type_symbol
_atom_site_fract_x
_atom_site_fract_y
_atom_site_fract_z
Mn1 Mn 0.0000 0.0000 0.0000
Re1 Re 0.7500 0.7500 0.7500
Ir1 Ir 0.3749 0.3749 0.3749
Ir2 Ir 0.3749 0.3749 0.8753
Ir3 Ir 0.3749 0.8753 0.3749
Ir4 Ir 0.8753 0.3749 0.3749
```

* mass density: 17.77 Mg/m³
* calculated total energy: -54.3 eV/f.u.
* SG: No. 216
* ΔH_f (0 K): 462 meV per atom
* Fermi-level density of states: 7.38 states/eV/cell